Entry 1:
A plane-wave DFT calculation with GGA-PBE was carried out for a geometry-optimized Tb3Pr5Dy2 structure.

Cell: 10.8181 14.9231 10.1317 Å, 90.00 122.23 90.00°
With the nearest neighbours (Å) after each atom.
Space group C2/c (No. 15)
Unique sites:
Tb (0.0000, 0.2285, 0.2500)  3 Pr 3.08-3.43, 2 Dy 3.40
Tb (0.1544, 0.1251, 0.0576)  1 Dy 3.29, 5 Pr 3.43-3.54, 1 Tb 3.53
Pr (0.0000, 0.0221, 0.2500)  3 Tb 3.08-3.43
Pr (0.0000, 0.2717, 0.7500)  3 Pr 3.14-3.45, 2 Tb 3.43, 2 Dy 3.49
Pr (0.0000, 0.4818, 0.7500)  3 Pr 3.14-3.48, 2 Dy 3.43
Pr (0.2478, 0.1292, 0.7434)  3 Tb 3.43-3.82, 3 Pr 3.45-3.53, 2 Dy 3.74-3.81
Dy (0.1537, 0.3717, 0.5588)  3 Tb 3.29-3.50, 4 Pr 3.43-3.56

The calculated formation energy comes out at 0.17 eV per atom. Its calculated volume is 34.6 Å³ per atom. The value obtained for the energy above the lowest structure with this stoichiometry is 0 meV/atom. The calculation puts the total DFT energy (no corrections) at -4.53 eV per atom.


Entry 2:
A plane-wave DFT calculation with GGA-PBE was carried out for a geometry-optimized Tb3Pr3Dy8 structure.

Cell: 5.6820 10.8177 15.1201 Å, 90.00 90.00 90.00°
With the nearest neighbours (Å) after each atom.
Space group Immm (No. 71)
Unique sites:
Tb (0.0000, 0.0000, 0.0000)  2 Tb 3.21
Tb (0.0000, 0.2968, 0.0000)  1 Tb 3.21, 4 Pr 3.54-3.59, 4 Dy 3.56
Pr (0.0000, 0.0000, 0.5000)  4 Tb 3.59, 4 Pr 3.98, 4 Dy 4.00
Pr (0.0000, 0.5000, 0.1839)  2 Tb 3.54, 8 Dy 3.64-3.71
Dy (0.0000, 0.1611, 0.2199)  6 Dy 3.32-3.55, 1 Tb 3.64, 3 Pr 3.64-3.71
Dy (0.0000, 0.3411, 0.3977)  5 Dy 3.10-3.44

The calculated formation energy comes out at 0.10 eV per atom. Its calculated volume is 33.2 Å³ per atom. The calculation puts the total DFT energy (no corrections) at -4.54 eV per atom.


Entry 3:
A plane-wave DFT calculation with GGA-PBE was carried out for a geometry-optimized TbPr2Dy3 structure.

Cell: 17.1344 5.6064 10.1493 Å, 90.00 124.71 90.00°
With the nearest neighbours (Å) after each atom.
Space group C2/m (No. 12)
Unique sites:
Tb (0.1338, 0.0000, 0.1408)  5 Dy 3.60-3.69, 7 Pr 3.69-3.90, 1 Tb 3.78
Pr (0.0102, 0.5000, 0.8599)  1 Pr 3.06, 2 Dy 3.16-3.39
Pr (0.2285, 0.0000, 0.8706)  3 Dy 3.41-3.74, 3 Pr 3.62-3.69, 2 Tb 3.71
Dy (0.0498, 0.0000, 0.3968)  6 Dy 3.37-3.77, 2 Pr 3.56, 1 Tb 3.62
Dy (0.1125, 0.5000, 0.6558)  4 Dy 3.31-3.56, 3 Pr 3.39-3.41, 1 Tb 3.60
Dy (0.2071, 0.5000, 0.4250)  3 Dy 3.13-3.47, 1 Pr 3.16

The calculated formation energy comes out at 0.10 eV per atom. Its calculated volume is 33.4 Å³ per atom. The value obtained for the energy above the lowest structure with this stoichiometry is 0 meV/atom. The calculation puts the total DFT energy (no corrections) at -4.57 eV per atom.


Entry 4:
A plane-wave DFT calculation with GGA-PBE was carried out for a geometry-optimized Tb2Pr3Dy structure.

Cell: 6.2433 6.3114 6.3187 Å, 60.07 70.21 80.29°
With the nearest neighbours (Å) after each atom.
Space group P-1 (No. 2)
Unique sites:
Tb (0.0000, 0.1666, 0.1667)  6 Pr 3.61-3.62, 3 Tb 3.64-3.65, 3 Dy 3.64-3.65
Pr (0.5000, 0.1668, 0.6666)  4 Tb 3.61-3.62, 2 Dy 3.61-3.62, 6 Pr 3.64-3.65
Pr (0.5000, 0.5000, 0.0000)  2 Dy 3.61, 4 Tb 3.61-3.62, 6 Pr 3.64-3.65
Dy (0.0000, 0.5000, 0.5000)  6 Pr 3.61-3.62, 6 Tb 3.64-3.65

The calculated formation energy comes out at 0.01 eV per atom. Its calculated volume is 33.8 Å³ per atom. The value obtained for the energy above the lowest structure with this stoichiometry is 25 meV/atom. The calculation puts the total DFT energy (no corrections) at -4.69 eV per atom.


Entry 5:
A plane-wave DFT calculation with GGA-PBE was carried out for a geometry-optimized TbPr3Dy3Te8 structure.

Cell: 8.8188 8.8188 21.8172 Å, 90.00 90.00 120.00°
With the nearest neighbours (Å) after each atom.
Space group R-3m (No. 166, hexagonal axes)
Unique sites:
Tb (0.0000, 0.0000, 0.0000)  6 Te 3.16
Pr (0.0000, 0.5000, 0.5000)  6 Te 3.19
Dy (0.0000, 0.5000, 0.0000)  6 Te 3.07
Te (0.0000, 0.0000, 0.2546)  3 Dy 3.07, 3 Pr 3.19
Te (0.0096, 0.5048, 0.2522)  2 Dy 3.07, 1 Tb 3.16, 2 Pr 3.19

Its calculated volume is 32.7 Å³ per atom. The uncorrected formation energy is -1.415 eV/atom. The calculation puts the total DFT energy (no corrections) at -5.28 eV per atom.


Entry 6:
A plane-wave DFT calculation with GGA-PBE was carried out for a geometry-optimized TbPr4Dy3Te8 structure.

Cell: 8.7791 8.7791 22.3405 Å, 90.00 90.00 120.00°
With the nearest neighbours (Å) after each atom.
Space group R-3m (No. 166, hexagonal axes)
Unique sites:
Tb (0.0000, 0.0000, 0.0000)  6 Te 3.09
Pr (0.0000, 0.0000, 0.5000)  6 Te 3.21
Pr (0.0000, 0.5000, 0.5000)  6 Te 3.21
Dy (0.0000, 0.5000, 0.0000)  6 Te 3.08
Te (0.0000, 0.0000, 0.2551)  3 Dy 3.08, 3 Pr 3.21
Te (0.0008, 0.5004, 0.2549)  2 Dy 3.08, 1 Tb 3.09, 3 Pr 3.21

Its calculated volume is 31.1 Å³ per atom. The uncorrected formation energy is -1.366 eV/atom. The calculation puts the total DFT energy (no corrections) at -5.28 eV per atom.


Q: Which value of calculated volume does entry 1 give?
A: 34.6 Å³ per atom


Q: What is the formula in the second record?
A: Tb3Pr3Dy8


Q: What is the formula in the third record?
A: TbPr2Dy3